{"formula": "BaMgCd2", "functional": "GGA-PBEsol", "state": "relaxed", "lattice_angstrom": [[4.785, 0.000, 0.000], [0.000, 1.850, 6.668], [0.000, -1.850, 6.668]], "species": ["Ba", "Mg", "Cd", "Cd"], "fractional_positions": [[0.000, 0.000, 0.000], [0.500, 0.690, 0.690], [0.000, 0.256, 0.256], [0.500, 0.374, 0.374]], "vol_a3_per_fu": 118.1, "spacegroup": "No. 38", "e_form_kj_per_mol_fu": -55}